# 1
9
Lattice="-2.9185 2.9185 4.2029 2.9185 -2.9185 4.2029 2.9185 2.9185 -4.2029" Properties=species:S:1:pos:R:3 comment="Rb2SiH5F PBE optimized geometry" spacegroup="I4mm (107)" total_energy_ev_per_cell=-32.3 magmom_total_mub_per_fu=0.000 pbc="T T T"
Rb 2.9185 0.0000 0.0000
Rb 0.0000 2.9185 0.0000
Si 0.0000 0.0000 2.0026
H 1.7888 1.7888 -2.1691
H 1.1297 -1.1297 2.0338
H 0.0000 0.0000 0.4122
H -1.1297 1.1297 2.0338
H 1.1297 1.1297 2.0338
F 0.0000 0.0000 3.8260

---

# 2
5
Lattice="3.6082 0.0000 0.0000 0.0000 3.6082 0.0000 0.0000 0.0000 5.1538" Properties=species:S:1:pos:R:3 comment="TiSiAsH2 PBE optimized geometry" spacegroup="P4/mmm (123)" total_energy_ev_per_cell=-23.7 magmom_total_mub_per_fu=0.000 pbc="T T T"
Ti 0.0000 0.0000 0.0000
Si 0.0000 0.0000 2.5769
As 1.8041 1.8041 2.5769
H 0.0000 1.8041 0.0000
H 1.8041 0.0000 0.0000